Density functional theory data (meta-GGA SCAN) for a PBEsol-optimized structure of BePtIN2.

abc: 3.709 3.709 7.629
angles: 90.00 90.00 90.00
Atoms (fractional coordinates):
I 0.000 0.000 0.500
Be 0.500 0.500 0.500
Pt 0.000 0.000 0.000
N 0.000 0.500 0.000
N 0.500 0.000 0.000

The calculation puts the theoretical density at 5.7 Mg/m³. The space group is P4/mmm, No. 123. The volume comes out at 105.0 Å³/cell. As for the energy relative to the elements, uncorrected: 6.09 eV per formula unit. The crystal system is tetragonal.